Below is LiTeWO5 after structural relaxation, with properties calculated at the GGA+U level.

Geometry as POSCAR:
```
LiTeWO5
1.0
5.672 -0.050 -0.026
-1.703 5.411 -0.026
-1.657 -2.239 7.135
Li Te W O
2 2 2 10
Direct
0.312 0.688 0.250 Li
0.688 0.312 0.750 Li
0.645 0.355 0.250 Te
0.355 0.645 0.750 Te
0.000 0.000 0.500 W
0.000 0.000 0.000 W
0.961 0.039 0.250 O
0.039 0.961 0.750 O
0.753 0.159 0.948 O
0.247 0.841 0.052 O
0.841 0.247 0.552 O
0.159 0.753 0.448 O
0.657 0.697 0.399 O
0.343 0.303 0.601 O
0.303 0.343 0.101 O
0.697 0.657 0.899 O
```

Values from the calculation:
The space group is No. 15. The calculation puts the calculated total energy at -6.19 eV per atom.